1.
KTl2PdPb: optimized geometry, PBE.

ΔH_f (0 K)	-1.115	kcal/mol of atoms
calculated total energy	-2.995	eV per atom
relative energy among the computed polymorphs	123	meV per atom

```
data_KTl2PdPb
_chemical_formula_sum 'K1 Tl2 Pd1 Pb1'
_cell_length_a 5.4421
_cell_length_b 5.4421
_cell_length_c 5.5486
_cell_angle_alpha 90.00
_cell_angle_beta 90.00
_cell_angle_gamma 90.00
_space_group_name_H-M_alt 'P 1'
_space_group_IT_number 1
loop_
_space_group_symop_operation_xyz
'x,y,z'
loop_
_atom_site_label
_atom_site_type_symbol
_atom_site_fract_x
_atom_site_fract_y
_atom_site_fract_z
K1 K 0.0000 0.0000 0.0000
Tl1 Tl 0.0000 0.5000 0.5000
Tl2 Tl 0.5000 0.0000 0.5000
Pd1 Pd 0.5000 0.5000 0.5000
Pb1 Pb 0.5000 0.5000 0.0000
```


2.
KTlPdPb2: optimized geometry, PBE.

ΔH_f (0 K)	-0.638	kcal/mol of atoms
calculated total energy	-3.242	eV per atom

```
data_KTlPdPb2
_chemical_formula_sum 'K1 Tl1 Pd1 Pb2'
_cell_length_a 5.5239
_cell_length_b 5.5239
_cell_length_c 5.4536
_cell_angle_alpha 90.00
_cell_angle_beta 90.00
_cell_angle_gamma 90.00
_space_group_name_H-M_alt 'P 1'
_space_group_IT_number 1
loop_
_space_group_symop_operation_xyz
'x,y,z'
loop_
_atom_site_label
_atom_site_type_symbol
_atom_site_fract_x
_atom_site_fract_y
_atom_site_fract_z
K1 K 0.0000 0.0000 0.0000
Tl1 Tl 0.5000 0.5000 0.0000
Pd1 Pd 0.5000 0.5000 0.5000
Pb1 Pb 0.0000 0.5000 0.5000
Pb2 Pb 0.5000 0.0000 0.5000
```


3.
K2TlPd4Pb3: optimized geometry, PBE.

ΔH_f (0 K)	-5.310	kcal/mol of atoms
calculated total energy	-3.876	eV per atom

```
data_K2TlPd4Pb3
_chemical_formula_sum 'K2 Tl1 Pd4 Pb3'
_cell_length_a 4.9283
_cell_length_b 4.9283
_cell_length_c 10.8554
_cell_angle_alpha 90.00
_cell_angle_beta 90.00
_cell_angle_gamma 90.00
_space_group_name_H-M_alt 'P 1'
_space_group_IT_number 1
loop_
_space_group_symop_operation_xyz
'x,y,z'
loop_
_atom_site_label
_atom_site_type_symbol
_atom_site_fract_x
_atom_site_fract_y
_atom_site_fract_z
K1 K 0.0000 0.5000 0.2406
K2 K 0.5000 0.0000 0.7594
Tl1 Tl 0.0000 0.0000 0.5000
Pd1 Pd 0.0000 0.0000 0.0000
Pd2 Pd 0.0000 0.5000 0.6290
Pd3 Pd 0.5000 0.0000 0.3710
Pd4 Pd 0.5000 0.5000 0.0000
Pb1 Pb 0.0000 0.5000 0.8830
Pb2 Pb 0.5000 0.0000 0.1170
Pb3 Pb 0.5000 0.5000 0.5000
```


4.
KTl2PdPb: optimized geometry, PBE.

ΔH_f (0 K)	-3.961	kcal/mol of atoms
calculated total energy	-3.118	eV per atom
relative energy among the computed polymorphs	0	meV per atom

```
data_KTl2PdPb
_chemical_formula_sum 'K2 Tl4 Pd2 Pb2'
_cell_length_a 5.9273
_cell_length_b 7.6270
_cell_length_c 6.6778
_cell_angle_alpha 90.00
_cell_angle_beta 90.00
_cell_angle_gamma 90.00
_space_group_name_H-M_alt 'P 1'
_space_group_IT_number 1
loop_
_space_group_symop_operation_xyz
'x,y,z'
loop_
_atom_site_label
_atom_site_type_symbol
_atom_site_fract_x
_atom_site_fract_y
_atom_site_fract_z
K1 K 0.2500 0.0000 0.2391
K2 K 0.7500 0.0000 0.7609
Tl1 Tl 0.2500 0.2533 0.7384
Tl2 Tl 0.2500 0.7467 0.7384
Tl3 Tl 0.7500 0.2533 0.2616
Tl4 Tl 0.7500 0.7467 0.2616
Pd1 Pd 0.0000 0.5000 0.5000
Pd2 Pd 0.5000 0.5000 0.5000
Pb1 Pb 0.2500 0.5000 0.1371
Pb2 Pb 0.7500 0.5000 0.8629
```


5.
KPmPb: optimized geometry, PBE.

ΔH_f (0 K)	-1.975	kcal/mol of atoms
calculated total energy	-3.271	eV per atom
relative energy among the computed polymorphs	155	meV per atom

```
data_KPmPb
_chemical_formula_sum 'K1 Pm1 Pb1'
_cell_length_a 8.8800
_cell_length_b 8.8800
_cell_length_c 8.8800
_cell_angle_alpha 156.23
_cell_angle_beta 156.23
_cell_angle_gamma 33.86
_space_group_name_H-M_alt 'P 1'
_space_group_IT_number 1
loop_
_space_group_symop_operation_xyz
'x,y,z'
loop_
_atom_site_label
_atom_site_type_symbol
_atom_site_fract_x
_atom_site_fract_y
_atom_site_fract_z
K1 K 0.0000 0.0000 0.0000
Pm1 Pm 0.2827 0.2827 0.0000
Pb1 Pb 0.6574 0.6574 0.0000
```


6.
KPmPb: optimized geometry, PBE.

ΔH_f (0 K)	-5.559	kcal/mol of atoms
calculated total energy	-3.427	eV per atom
relative energy among the computed polymorphs	0	meV per atom

```
data_KPmPb
_chemical_formula_sum 'K2 Pm2 Pb2'
_cell_length_a 5.6708
_cell_length_b 5.6708
_cell_length_c 8.1107
_cell_angle_alpha 90.00
_cell_angle_beta 90.13
_cell_angle_gamma 90.00
_space_group_name_H-M_alt 'P 1'
_space_group_IT_number 1
loop_
_space_group_symop_operation_xyz
'x,y,z'
loop_
_atom_site_label
_atom_site_type_symbol
_atom_site_fract_x
_atom_site_fract_y
_atom_site_fract_z
K1 K 0.2494 0.2500 0.3746
K2 K 0.7506 0.7500 0.6254
Pm1 Pm 0.2507 0.7500 0.0000
Pm2 Pm 0.7493 0.2500 0.0000
Pb1 Pb 0.2484 0.2500 0.8165
Pb2 Pb 0.7516 0.7500 0.1835
```


7.
KPm4Pb5: optimized geometry, PBE.

ΔH_f (0 K)	-9.488	kcal/mol of atoms
calculated total energy	-4.276	eV per atom

```
data_KPm4Pb5
_chemical_formula_sum 'K1 Pm4 Pb5'
_cell_length_a 4.1659
_cell_length_b 4.1659
_cell_length_c 18.4415
_cell_angle_alpha 90.00
_cell_angle_beta 90.00
_cell_angle_gamma 90.00
_space_group_name_H-M_alt 'P 1'
_space_group_IT_number 1
loop_
_space_group_symop_operation_xyz
'x,y,z'
loop_
_atom_site_label
_atom_site_type_symbol
_atom_site_fract_x
_atom_site_fract_y
_atom_site_fract_z
K1 K 0.0000 0.0000 0.0000
Pm1 Pm 0.0000 0.0000 0.2171
Pm2 Pm 0.0000 0.0000 0.4064
Pm3 Pm 0.0000 0.0000 0.5936
Pm4 Pm 0.0000 0.0000 0.7829
Pb1 Pb 0.5000 0.5000 0.1310
Pb2 Pb 0.5000 0.5000 0.3124
Pb3 Pb 0.5000 0.5000 0.5000
Pb4 Pb 0.5000 0.5000 0.6876
Pb5 Pb 0.5000 0.5000 0.8690
```


8.
KPm2Pb3S6: optimized geometry, PBE.

E_form (uncorrected)	-1160	meV/atom
calculated total energy	-5.034	eV per atom

```
data_KPm2Pb3S6
_chemical_formula_sum 'K1 Pm2 Pb3 S6'
_cell_length_a 9.3436
_cell_length_b 9.3436
_cell_length_c 9.1020
_cell_angle_alpha 102.22
_cell_angle_beta 102.22
_cell_angle_gamma 25.10
_space_group_name_H-M_alt 'P 1'
_space_group_IT_number 1
loop_
_space_group_symop_operation_xyz
'x,y,z'
loop_
_atom_site_label
_atom_site_type_symbol
_atom_site_fract_x
_atom_site_fract_y
_atom_site_fract_z
K1 K 0.0000 0.0000 0.0000
Pm1 Pm 0.3332 0.3332 0.6672
Pm2 Pm 0.6668 0.6668 0.3328
Pb1 Pb 0.0000 0.0000 0.5000
Pb2 Pb 0.3397 0.3397 0.1678
Pb3 Pb 0.6603 0.6603 0.8322
S1 S 0.1703 0.1703 0.5545
S2 S 0.1801 0.1801 0.1238
S3 S 0.4875 0.4875 0.7293
S4 S 0.5125 0.5125 0.2707
S5 S 0.8199 0.8199 0.8762
S6 S 0.8297 0.8297 0.4455
```


Copy entry 2 word for word.
KTlPdPb2: optimized geometry, PBE.

ΔH_f (0 K)	-0.638	kcal/mol of atoms
calculated total energy	-3.242	eV per atom

```
data_KTlPdPb2
_chemical_formula_sum 'K1 Tl1 Pd1 Pb2'
_cell_length_a 5.5239
_cell_length_b 5.5239
_cell_length_c 5.4536
_cell_angle_alpha 90.00
_cell_angle_beta 90.00
_cell_angle_gamma 90.00
_space_group_name_H-M_alt 'P 1'
_space_group_IT_number 1
loop_
_space_group_symop_operation_xyz
'x,y,z'
loop_
_atom_site_label
_atom_site_type_symbol
_atom_site_fract_x
_atom_site_fract_y
_atom_site_fract_z
K1 K 0.0000 0.0000 0.0000
Tl1 Tl 0.5000 0.5000 0.0000
Pd1 Pd 0.5000 0.5000 0.5000
Pb1 Pb 0.0000 0.5000 0.5000
Pb2 Pb 0.5000 0.0000 0.5000
```